# 1
# V4Ge

V4Ge after structural relaxation (PBE-GGA, the Alexandria database).

Results
The formation energy comes out at -0.060 eV per atom. As for the symmetry: No. 2. As for the total magnetization: 0.00 μB per formula unit.

Unit cell a=4.6753 b=7.2921 c=8.4533 alpha=92.44 beta=102.52 gamma=96.79
Closest atoms and distances in Å follow each position.
Fractional coordinates of all 20 atoms:
V 0.0144 0.2437 0.1466  4 Ge 2.53-2.76, 5 V 2.55-2.74
V 0.1518 0.4307 0.8483  2 V 2.30-2.37
V 0.2141 0.7581 0.4140  3 V 2.38-2.64, 2 Ge 2.48-2.53
V 0.2267 0.0862 0.4200  4 V 2.38-2.60, 2 Ge 2.60-2.66
V 0.2322 0.4099 0.4792  4 V 2.39-2.64, 1 Ge 2.67
V 0.3034 0.0797 0.7069  3 V 2.38-2.60, 1 Ge 2.61
V 0.3450 0.5738 0.1608  2 V 2.30-2.37
V 0.4227 0.1661 0.0079  6 V 2.52-2.74, 4 Ge 2.54-2.69
V 0.5773 0.8339 0.9921  6 V 2.52-2.74, 4 Ge 2.54-2.69
V 0.6550 0.4262 0.8392  2 V 2.30-2.37
V 0.6966 0.9203 0.2931  3 V 2.38-2.60, 1 Ge 2.61
V 0.7678 0.5901 0.5208  4 V 2.39-2.64, 1 Ge 2.67
V 0.7733 0.9138 0.5800  4 V 2.38-2.60, 2 Ge 2.60-2.66
V 0.7859 0.2419 0.5860  3 V 2.38-2.64, 2 Ge 2.48-2.53
V 0.8482 0.5693 0.1517  2 V 2.30-2.37
V 0.9856 0.7563 0.8534  4 Ge 2.53-2.76, 5 V 2.55-2.74
Ge 0.1425 0.8984 0.1421  11 V 2.53-2.69
Ge 0.3926 0.6947 0.7023  9 V 2.48-2.76
Ge 0.6074 0.3053 0.2977  9 V 2.48-2.76
Ge 0.8575 0.1016 0.8579  11 V 2.53-2.69



# 2
# VGe

VGe after structural relaxation (PBE-GGA, the Alexandria database).

Results
The formation energy comes out at 0.092 eV per atom. As for the symmetry: No. 225. As for the total magnetization: 0.39 μB per formula unit.

Unit cell a=3.5498 b=3.5498 c=3.5498 alpha=60.00 beta=60.00 gamma=60.00
Closest atoms and distances in Å follow each position.
Fractional coordinates of all 2 atoms:
V 0.0000 0.0000 0.0000  6 Ge 2.51
Ge 0.5000 0.5000 0.5000  6 V 2.51



# 3
# VGe

VGe after structural relaxation (PBE-GGA, the Alexandria database).

Results
The formation energy comes out at 0.218 eV per atom. As for the symmetry: No. 176. As for the total magnetization: 0.00 μB per formula unit.

Unit cell a=6.9241 b=6.9241 c=4.8606 alpha=90.00 beta=90.00 gamma=120.00
Closest atoms and distances in Å follow each position.
Fractional coordinates of all 12 atoms:
V 0.1307 0.6743 0.2500  2 V 2.48, 5 Ge 2.50-2.63
V 0.3257 0.4564 0.2500  2 V 2.48, 5 Ge 2.50-2.63
V 0.4564 0.1307 0.7500  2 V 2.48, 5 Ge 2.50-2.63
V 0.5436 0.8693 0.2500  2 V 2.48, 5 Ge 2.50-2.63
V 0.6743 0.5436 0.7500  2 V 2.48, 5 Ge 2.50-2.63
V 0.8693 0.3257 0.7500  2 V 2.48, 5 Ge 2.50-2.63
Ge 0.1130 0.7555 0.7500  5 V 2.50-2.63
Ge 0.2445 0.3575 0.7500  5 V 2.50-2.63
Ge 0.3575 0.1130 0.2500  5 V 2.50-2.63
Ge 0.6425 0.8870 0.7500  5 V 2.50-2.63
Ge 0.7555 0.6425 0.2500  5 V 2.50-2.63
Ge 0.8870 0.2445 0.2500  5 V 2.50-2.63



# 4
# VGe2

VGe2 after structural relaxation (PBE-GGA, the Alexandria database).

Results
The formation energy comes out at -0.161 eV per atom. As for the symmetry: No. 180. As for the total magnetization: 0.00 μB per formula unit.

Unit cell a=4.8136 b=4.8136 c=6.6252 alpha=90.00 beta=90.00 gamma=120.00
Closest atoms and distances in Å follow each position.
Fractional coordinates of all 9 atoms:
V 0.0000 0.5000 0.1667  10 Ge 2.61-2.78
V 0.5000 0.0000 0.5000  10 Ge 2.61-2.78
V 0.5000 0.5000 0.8333  10 Ge 2.61-2.78
Ge 0.1666 0.3332 0.5000  5 Ge 2.61-2.78, 5 V 2.61-2.78
Ge 0.1666 0.8334 0.8333  5 Ge 2.61-2.78, 5 V 2.61-2.78
Ge 0.3332 0.1666 0.1667  5 Ge 2.61-2.78, 5 V 2.61-2.78
Ge 0.6668 0.8334 0.1667  5 Ge 2.61-2.78, 5 V 2.61-2.78
Ge 0.8334 0.1666 0.8333  5 Ge 2.61-2.78, 5 V 2.61-2.78
Ge 0.8334 0.6668 0.5000  5 Ge 2.61-2.78, 5 V 2.61-2.78



# 5
# VGe4

VGe4 after structural relaxation (PBE-GGA, the Alexandria database).

Results
The formation energy comes out at 0.453 eV per atom. As for the symmetry: No. 221. As for the total magnetization: 0.00 μB per formula unit.

Unit cell a=4.7636 b=4.7636 c=4.7636 alpha=90.00 beta=90.00 gamma=90.00
Closest atoms and distances in Å follow each position.
Fractional coordinates of all 5 atoms:
V 0.0000 0.0000 0.0000  6 Ge 2.38
Ge 0.0000 0.0000 0.5000  2 V 2.38
Ge 0.0000 0.5000 0.0000  2 V 2.38
Ge 0.5000 0.0000 0.0000  2 V 2.38
Ge 0.5000 0.5000 0.5000  12 Ge 3.37



# 6
# VGe

VGe after structural relaxation (PBE-GGA, the Alexandria database).

Results
The formation energy comes out at 0.142 eV per atom. As for the symmetry: No. 87. As for the total magnetization: 0.00 μB per formula unit.

Unit cell a=6.2988 b=6.2988 c=6.2988 alpha=97.34 beta=97.34 gamma=138.10
Closest atoms and distances in Å follow each position.
Fractional coordinates of all 8 atoms:
V 0.0972 0.5999 0.6971  1 V 2.32, 2 Ge 2.40-2.50
V 0.4001 0.0972 0.4973  1 V 2.32, 2 Ge 2.40-2.50
V 0.5999 0.9028 0.5027  1 V 2.32, 2 Ge 2.40-2.50
V 0.9028 0.4001 0.3029  1 V 2.32, 2 Ge 2.40-2.50
Ge 0.2651 0.3656 0.6308  4 V 2.40-2.66
Ge 0.3656 0.7349 0.1005  4 V 2.40-2.66
Ge 0.6344 0.2651 0.8995  4 V 2.40-2.66
Ge 0.7349 0.6344 0.3692  4 V 2.40-2.66